# Ce4YO9

A crystal of Ce4YO9 relaxed with PBEsol (meta-GGA SCAN, Alexandria via LeMat-Bulk).

a = 3.7789 Å, b = 5.4533 Å, c = 10.1600 Å
α = 105.57°, β = 100.72°, γ = 90.00°
Last column: nearest neighbours and their distance in Å.
Positions (direct):
O 0.9167 0.1686 0.8334  1 Y 2.29, 2 Ce 2.40
O 0.8963 0.6443 0.7927  1 Y 2.28, 3 Ce 2.29-2.30
Ce 0.6053 0.6165 0.2106  7 O 2.24-2.40
O 0.6972 0.4541 0.3943  4 Ce 2.24-2.41
O 0.3028 0.0597 0.6057  4 Ce 2.24-2.41
O 0.2983 0.5532 0.5965  4 Ce 2.28-2.35
Ce 0.1986 0.2028 0.3971  7 O 2.30-2.41
O 0.0833 0.3353 0.1666  1 Y 2.29, 2 Ce 2.40
O 0.1037 0.8516 0.2073  1 Y 2.28, 3 Ce 2.29-2.30
Ce 0.3947 0.4059 0.7894  7 O 2.24-2.40
Ce 0.8014 0.8056 0.6029  7 O 2.30-2.41
O 0.5000 0.7443 0.0000  2 Y 2.20, 2 Ce 2.39
O 0.7017 0.9566 0.4035  4 Ce 2.28-2.35
Y 0.0000 0.9515 0.0000  6 O 2.20-2.29

E_tot ... -22.509 eV per atom
Symmetry ... Imm2 (44)
ΔE_f (raw) ... -5109 kJ/mol of formula units

# BaScTa2Ag

A crystal of BaScTa2Ag relaxed with PBEsol (meta-GGA SCAN, Alexandria via LeMat-Bulk).

a = 4.8477 Å, b = 4.8477 Å, c = 5.7983 Å
α = 90.00°, β = 90.00°, γ = 90.00°
Last column: nearest neighbours and their distance in Å.
Positions (direct):
Ba 0.0000 0.0000 0.5000  2 Sc 2.90
Sc 0.0000 0.0000 0.0000  4 Ta 2.42
Ta 0.5000 0.0000 0.0000  2 Sc 2.42
Ag 0.5000 0.5000 0.5000  4 Ba 3.43, 8 Ta 3.78
Ta 0.0000 0.5000 0.0000  2 Sc 2.42

E_tot ... -41.865 eV per atom
Symmetry ... P4/mmm (123)

# BeCr2Fe

A crystal of BeCr2Fe relaxed with PBEsol (meta-GGA SCAN, Alexandria via LeMat-Bulk).

a = 2.7603 Å, b = 3.6936 Å, c = 4.5286 Å
α = 114.07°, β = 107.74°, γ = 90.00°
Last column: nearest neighbours and their distance in Å.
Positions (direct):
Fe 0.5000 0.0000 0.0000  4 Be 2.31, 4 Cr 2.36
Be 0.0000 0.5000 0.0000  4 Fe 2.31, 4 Cr 2.42
Cr 0.7549 0.7549 0.5097  4 Cr 2.31, 2 Fe 2.36, 2 Be 2.42
Cr 0.2451 0.2451 0.4903  4 Cr 2.31, 2 Fe 2.36, 2 Be 2.42

E_tot ... -14.773 eV per atom
Symmetry ... Immm (71)

# TlMoC2

A crystal of TlMoC2 relaxed with PBEsol (meta-GGA SCAN, Alexandria via LeMat-Bulk).

a = 5.1293 Å, b = 5.9533 Å, c = 5.1293 Å
α = 64.48°, β = 90.00°, γ = 115.52°
Last column: nearest neighbours and their distance in Å.
Positions (direct):
Tl 0.7500 0.5000 0.7500  4 C 2.39
C 0.3750 0.2500 0.1950  2 Mo 1.97
C 0.1950 0.7500 0.8750  2 Mo 1.97
C 0.5550 0.7500 0.3750  2 Mo 1.97
Mo 0.5000 0.0000 0.5000  4 C 1.97
C 0.8750 0.2500 0.5550  2 Mo 1.97
Mo 0.2500 0.5000 0.2500  4 C 1.97
Tl 0.0000 0.0000 0.0000  4 C 2.39

E_tot ... -30.822 eV per atom
Symmetry ... I-42d (122)
ΔE to the lowest computed polymorph ... 0.00 kcal/mol of atoms

# Cu2PCl

A crystal of Cu2PCl relaxed with PBEsol (meta-GGA SCAN, Alexandria via LeMat-Bulk).

a = 4.0882 Å, b = 4.4600 Å, c = 4.0882 Å
α = 117.28°, β = 90.00°, γ = 117.28°
Last column: nearest neighbours and their distance in Å.
Positions (direct):
Cl 0.0000 0.0000 0.0000  8 Cu 2.66, 4 P 2.89
Cu 0.7500 0.5000 0.2500  4 Cl 2.66, 4 P 2.66, 4 Cu 2.89
P 0.5000 0.0000 0.5000  8 Cu 2.66, 4 Cl 2.89
Cu 0.2500 0.5000 0.7500  4 P 2.66, 4 Cl 2.66, 4 Cu 2.89

E_tot ... -11.564 eV per atom
Symmetry ... I4/mmm (139)
ΔE to the lowest computed polymorph ... 14.77 kcal/mol of atoms
ΔE_f (raw) ... 243 kJ/mol of formula units

# BeICl2F

A crystal of BeICl2F relaxed with PBEsol (meta-GGA SCAN, Alexandria via LeMat-Bulk).

a = 3.1753 Å, b = 5.2606 Å, c = 5.2606 Å
α = 90.00°, β = 90.00°, γ = 90.00°
Last column: nearest neighbours and their distance in Å.
Positions (direct):
Cl 0.0000 0.0000 0.5000  2 Be 2.63
Cl 0.0000 0.5000 0.0000  2 Be 2.63
F 0.5000 0.0000 0.0000  2 Be 1.59
Be 0.0000 0.0000 0.0000  2 F 1.59
I 0.5000 0.5000 0.5000  8 Cl 3.07, 2 I 3.18

E_tot ... -13.078 eV per atom
Symmetry ... P4/mmm (123)
ΔE_f (raw) ... -463 kJ/mol of formula units

# SrBeCu2

A crystal of SrBeCu2 relaxed with PBEsol (meta-GGA SCAN, Alexandria via LeMat-Bulk).

a = 3.1588 Å, b = 3.1588 Å, c = 6.5775 Å
α = 90.00°, β = 90.00°, γ = 90.00°
Last column: nearest neighbours and their distance in Å.
Positions (direct):
Be 0.5000 0.5000 0.8449  5 Cu 2.15-2.41
Cu 0.5000 0.5000 0.1723  1 Be 2.15
Sr 0.0000 0.0000 0.4997  6 Cu 3.10-3.40, 4 Sr 3.16, 4 Be 3.19
Cu 0.0000 0.0000 0.9831  4 Be 2.41, 4 Cu 2.56

E_tot ... -13.979 eV per atom
Symmetry ... P4mm (99)

# Ti2S3O12

A crystal of Ti2S3O12 relaxed with PBEsol (meta-GGA SCAN, Alexandria via LeMat-Bulk).

a = 8.5963 Å, b = 8.5963 Å, c = 8.8745 Å
α = 61.03°, β = 61.03°, γ = 60.00°
Last column: nearest neighbours and their distance in Å.
Positions (direct):
Ti 0.8553 0.8553 0.4340  6 O 2.00-2.01
O 0.5740 0.4499 0.7754  1 S 1.47
O 0.0782 0.9087 0.7302  1 S 1.47
O 0.8667 0.7362 0.9102  1 S 1.48
O 0.3783 0.9927 0.4154  1 S 1.48
O 0.6217 0.0073 0.5846  1 S 1.48
O 0.2136 0.3783 0.4154  1 S 1.48
S 0.7510 0.4607 0.7502  4 O 1.47-1.48
O 0.2638 0.5131 0.0898  1 S 1.48
Ti 0.3542 0.3542 0.9374  6 O 2.00-2.02
O 0.0913 0.7170 0.2698  1 S 1.47
O 0.9218 0.0913 0.2698  1 S 1.47
S 0.0380 0.7510 0.7502  4 O 1.47-1.48
O 0.1333 0.2638 0.0898  1 S 1.48
O 0.7864 0.6217 0.5846  1 S 1.48
O 0.7993 0.4260 0.2246  1 S 1.47
O 0.2007 0.5740 0.7754  1 S 1.47
O 0.9087 0.2830 0.7302  1 S 1.47
Ti 0.1447 0.1447 0.5659  6 O 2.00-2.01
O 0.5131 0.1333 0.0898  1 S 1.48
O 0.0073 0.7864 0.5846  1 S 1.48
O 0.2830 0.0782 0.7302  1 S 1.47
S 0.5393 0.9620 0.2498  4 O 1.47-1.48
O 0.7170 0.9218 0.2698  1 S 1.47
O 0.4869 0.8667 0.9102  1 S 1.48
S 0.9620 0.2490 0.2498  4 O 1.47-1.48
O 0.4499 0.2007 0.7754  1 S 1.47
S 0.4607 0.0380 0.7502  4 O 1.47-1.48
O 0.7362 0.4869 0.9102  1 S 1.48
O 0.9927 0.2136 0.4154  1 S 1.48
S 0.2490 0.5393 0.2498  4 O 1.47-1.48
O 0.4260 0.5501 0.2246  1 S 1.47
Ti 0.6458 0.6458 0.0626  6 O 2.00-2.02
O 0.5501 0.7993 0.2246  1 S 1.47

E_tot ... -10.035 eV per atom
Symmetry ... R-3 (148)
ΔE_f (raw) ... -3364 kJ/mol of formula units

# YPb

A crystal of YPb relaxed with PBEsol (meta-GGA SCAN, Alexandria via LeMat-Bulk).

a = 4.4560 Å, b = 4.4576 Å, c = 6.2964 Å
α = 110.73°, β = 110.72°, γ = 90.00°
Last column: nearest neighbours and their distance in Å.
Positions (direct):
Pb 0.1251 0.8751 0.2502  8 Y 3.15-3.52, 4 Pb 3.52
Y 0.3750 0.6250 0.7500  8 Pb 3.15-3.52, 4 Y 3.52
Y 0.6250 0.3750 0.2500  8 Pb 3.15-3.52, 4 Y 3.52
Pb 0.8749 0.1249 0.7498  8 Y 3.15-3.52, 4 Pb 3.52

E_tot ... -52.583 eV per atom
Symmetry ... I4_1/amd (141)

# La3Nd

A crystal of La3Nd relaxed with PBEsol (meta-GGA SCAN, Alexandria via LeMat-Bulk).

a = 5.1269 Å, b = 5.1269 Å, c = 6.2604 Å
α = 114.17°, β = 114.17°, γ = 90.00°
Last column: nearest neighbours and their distance in Å.
Positions (direct):
Nd 0.0000 0.0000 0.0000  12 La 3.62-3.63
La 0.5000 0.5000 0.0000  8 La 3.62, 4 Nd 3.63
La 0.2500 0.7500 0.5000  8 La 3.62-3.63, 4 Nd 3.62
La 0.7500 0.2500 0.5000  8 La 3.62-3.63, 4 Nd 3.62

E_tot ... -43.209 eV per atom
Symmetry ... I4/mmm (139)

# La2ZnHg

A crystal of La2ZnHg relaxed with PBEsol (meta-GGA SCAN, Alexandria via LeMat-Bulk).

a = 3.7674 Å, b = 5.1163 Å, c = 6.2153 Å
α = 114.30°, β = 107.64°, γ = 90.00°
Last column: nearest neighbours and their distance in Å.
Positions (direct):
La 0.2292 0.7292 0.4584  4 Hg 3.23, 2 Zn 3.33, 4 La 3.45-3.57
Hg 0.7855 0.2855 0.5709  2 Zn 2.75
La 0.0128 0.0128 0.0256  4 Zn 3.21, 4 La 3.45-3.57, 4 Hg 3.47-3.53
Zn 0.4726 0.4726 0.9451  2 Hg 2.75

E_tot ... -42.444 eV per atom
Symmetry ... Imm2 (44)
ΔE to the lowest computed polymorph ... 1.77 kcal/mol of atoms

# BePtI2O

A crystal of BePtI2O relaxed with PBEsol (meta-GGA SCAN, Alexandria via LeMat-Bulk).

a = 3.7786 Å, b = 5.4824 Å, c = 5.4824 Å
α = 90.00°, β = 90.00°, γ = 90.00°
Last column: nearest neighbours and their distance in Å.
Positions (direct):
I 0.0000 0.5000 0.0000  2 Pt 2.74
O 0.5000 0.0000 0.0000  2 Pt 1.89
Pt 0.0000 0.0000 0.0000  2 O 1.89
I 0.0000 0.0000 0.5000  2 Pt 2.74
Be 0.5000 0.5000 0.5000  8 I 3.33

E_tot ... -30.430 eV per atom
Symmetry ... P4/mmm (123)
ΔE_f (raw) ... 204 kJ/mol of formula units

# GdErIn2

A crystal of GdErIn2 relaxed with PBEsol (meta-GGA SCAN, Alexandria via LeMat-Bulk).

a = 5.2249 Å, b = 5.2249 Å, c = 5.2249 Å
α = 60.00°, β = 60.00°, γ = 60.00°
Last column: nearest neighbours and their distance in Å.
Positions (direct):
In 0.7500 0.7500 0.7500  4 Gd 3.20, 4 Er 3.20
Gd 0.5000 0.5000 0.5000  8 In 3.20
Er 0.0000 0.0000 0.0000  8 In 3.20
In 0.2500 0.2500 0.2500  4 Gd 3.20, 4 Er 3.20

E_tot ... -44.566 eV per atom
Symmetry ... Fm-3m (225)

# Sr2B5H3O11

A crystal of Sr2B5H3O11 relaxed with PBEsol (meta-GGA SCAN, Alexandria via LeMat-Bulk).

a = 6.5098 Å, b = 6.4860 Å, c = 11.3246 Å
α = 86.10°, β = 88.41°, γ = 61.43°
Last column: nearest neighbours and their distance in Å.
Positions (direct):
O 0.3157 0.7867 0.7389  2 B 1.37-1.48
H 0.3257 0.5607 0.0276  1 O 0.98
O 0.7258 0.0846 0.3348  2 B 1.46-1.47
B 0.2309 0.2147 0.2922  4 O 1.46-1.48
B 0.0507 0.6550 0.2536  3 O 1.37
O 0.1951 0.1652 0.8232  2 B 1.45-1.47
O 0.6156 0.9836 0.7882  2 B 1.46
O 0.4283 0.0143 0.2412  2 B 1.45-1.46
O 0.7758 0.6806 0.5648  1 H 0.98
O 0.6922 0.1296 0.1273  2 B 1.37-1.51
O 0.4332 0.1974 0.9647  2 B 1.37-1.52
B 0.2381 0.6298 0.7750  3 O 1.37
Sr 0.7538 0.5324 0.7750  7 O 2.49-2.75
O 0.0138 0.7037 0.8126  2 B 1.37-1.49
B 0.6535 0.1160 0.0103  3 O 1.37-1.38
O 0.2180 0.4297 0.2331  2 B 1.37-1.47
O 0.7864 0.5128 0.0003  1 H 0.98
O 0.0113 0.2078 0.2714  2 B 1.47-1.48
H 0.9272 0.6049 0.5255  1 O 0.98
O 0.4026 0.3969 0.7713  2 B 1.37-1.50
Sr 0.5725 0.5271 0.2537  9 O 2.57-2.83, 1 H 2.66
O 0.2128 0.1366 0.6163  2 B 1.37-1.47
B 0.1588 0.1274 0.5017  3 O 1.37
O 0.0226 0.0314 0.4692  2 B 1.37-1.50
O 0.1295 0.7941 0.3006  2 B 1.37-1.48
O 0.8210 0.7404 0.2233  2 B 1.37-1.50
O 0.8467 0.0278 0.9383  2 B 1.38-1.49
H 0.6468 0.6110 0.5179  2 O 1.17-1.27
O 0.3742 0.6763 0.0467  1 H 0.98
H 0.5679 0.6016 0.0198  2 O 1.15-1.27
B 0.1578 0.0437 0.7279  4 O 1.47-1.48
Sr 0.1225 0.1093 0.0544  7 O 2.49-2.78
B 0.9707 0.0313 0.3413  4 O 1.46-1.50
H 0.8330 0.6288 0.0207  1 O 0.98
H 0.3680 0.6599 0.4864  1 O 0.98
O 0.2605 0.2188 0.4211  2 B 1.37-1.48
O 0.9109 0.0962 0.7293  2 B 1.47-1.48
Sr 0.6173 0.1231 0.5609  8 O 2.54-2.68
B 0.4076 0.1828 0.8333  4 O 1.45-1.52
B 0.8441 0.9591 0.8155  4 O 1.46-1.49
B 0.6586 0.9975 0.2344  4 O 1.45-1.51
O 0.5313 0.5379 0.4796  1 H 0.98

E_tot ... -10.190 eV per atom
Symmetry ... P1 (1)

# CaSc2Ru

A crystal of CaSc2Ru relaxed with PBEsol (meta-GGA SCAN, Alexandria via LeMat-Bulk).

a = 4.8184 Å, b = 4.8184 Å, c = 4.8184 Å
α = 60.00°, β = 60.00°, γ = 60.00°
Last column: nearest neighbours and their distance in Å.
Positions (direct):
Sc 0.7500 0.7500 0.7500  4 Ru 2.95, 4 Ca 2.95
Ru 0.0000 0.0000 0.0000  8 Sc 2.95
Sc 0.2500 0.2500 0.2500  4 Ca 2.95, 4 Ru 2.95
Ca 0.5000 0.5000 0.5000  8 Sc 2.95

E_tot ... -18.276 eV per atom
Symmetry ... Fm-3m (225)
ΔE to the lowest computed polymorph ... 7.22 kcal/mol of atoms

# Mn2Pt

A crystal of Mn2Pt relaxed with PBEsol (meta-GGA SCAN, Alexandria via LeMat-Bulk).

a = 2.5922 Å, b = 2.5922 Å, c = 6.2169 Å
α = 90.00°, β = 90.00°, γ = 120.00°
Last column: nearest neighbours and their distance in Å.
Positions (direct):
Mn 0.6667 0.3333 0.3549  9 Mn 2.34-2.59
Mn 0.3333 0.6667 0.6451  9 Mn 2.34-2.59
Pt 0.0000 0.0000 0.0000  6 Pt 2.59, 6 Mn 2.67

E_tot ... -35.428 eV per atom
Symmetry ... P-3m1 (164)

# Rb3HoO3

A crystal of Rb3HoO3 relaxed with PBEsol (meta-GGA SCAN, Alexandria via LeMat-Bulk).

a = 7.1405 Å, b = 7.1845 Å, c = 7.1845 Å
α = 116.32°, β = 94.80°, γ = 94.80°
Last column: nearest neighbours and their distance in Å.
Positions (direct):
Ho 0.8516 0.8201 0.8201  4 O 2.09-2.17
Rb 0.6387 0.3600 0.3600  1 O 2.62
Rb 0.5000 0.2060 0.7940  2 O 2.75
Ho 0.1484 0.1799 0.1799  4 O 2.09-2.17
O 0.7317 0.5499 0.8304  1 Ho 2.09
O 0.2683 0.4501 0.1696  1 Ho 2.09
Rb 0.0000 0.2579 0.7421  4 O 2.86-3.13
O 0.2683 0.1696 0.4501  1 Ho 2.09
Rb 0.3613 0.6400 0.6400  1 O 2.62
Rb 0.5000 0.7940 0.2060  2 O 2.75
O 0.8427 0.1015 0.1015  2 Ho 2.14-2.17
O 0.7317 0.8304 0.5499  1 Ho 2.09
Rb 0.0000 0.7421 0.2579  4 O 2.86-3.13
O 0.1573 0.8985 0.8985  2 Ho 2.14-2.17

E_tot ... -20.697 eV per atom
Symmetry ... C2/m (12)
ΔE to the lowest computed polymorph ... 0.00 kcal/mol of atoms
ΔE_f (raw) ... -1445 kJ/mol of formula units

# Ca3CO

A crystal of Ca3CO relaxed with PBEsol (meta-GGA SCAN, Alexandria via LeMat-Bulk).

a = 4.7769 Å, b = 4.7769 Å, c = 4.7769 Å
α = 90.00°, β = 90.00°, γ = 90.00°
Last column: nearest neighbours and their distance in Å.
Positions (direct):
Ca 0.0000 0.0000 0.5000  2 C 2.39
C 0.0000 0.0000 0.0000  6 Ca 2.39
Ca 0.0000 0.5000 0.0000  2 C 2.39
O 0.5000 0.5000 0.5000  12 Ca 3.38
Ca 0.5000 0.0000 0.0000  2 C 2.39

E_tot ... -9.346 eV per atom
Symmetry ... Pm-3m (221)
ΔE_f (raw) ... -136 kJ/mol of formula units

# CaAgRh2O

A crystal of CaAgRh2O relaxed with PBEsol (meta-GGA SCAN, Alexandria via LeMat-Bulk).

a = 4.0499 Å, b = 4.8651 Å, c = 4.8651 Å
α = 90.00°, β = 90.00°, γ = 90.00°
Last column: nearest neighbours and their distance in Å.
Positions (direct):
Ag 0.5000 0.5000 0.5000  8 Rh 3.17, 4 O 3.44
Ca 0.0000 0.0000 0.0000  2 O 2.02
Rh 0.0000 0.5000 0.0000  2 Ca 2.43
Rh 0.0000 0.0000 0.5000  2 Ca 2.43
O 0.5000 0.0000 0.0000  2 Ca 2.02

E_tot ... -22.045 eV per atom
Symmetry ... P4/mmm (123)
ΔE_f (raw) ... 442 kJ/mol of formula units

# LiLaAs3

A crystal of LiLaAs3 relaxed with PBEsol (meta-GGA SCAN, Alexandria via LeMat-Bulk).

a = 5.5870 Å, b = 5.5870 Å, c = 5.5870 Å
α = 90.00°, β = 90.00°, γ = 90.00°
Last column: nearest neighbours and their distance in Å.
Positions (direct):
La 0.0000 0.0000 0.0000  6 As 2.79
Li 0.5000 0.5000 0.5000  12 As 3.95
As 0.0000 0.0000 0.5000  2 La 2.79
As 0.5000 0.0000 0.0000  2 La 2.79
As 0.0000 0.5000 0.0000  2 La 2.79

E_tot ... -20.883 eV per atom
Symmetry ... Pm-3m (221)